Record 1
The following is a SCAN calculation of a PBEsol-optimized structure of Nb3ZnCl, from Alexandria.

Lattice parameters (Å, degrees): 4.505 4.505 4.505 90.00 90.00 90.00
Element x y z (fractional)
Nb (0.000, 0.000, 0.500)
Nb (0.000, 0.500, 0.000)
Nb (0.500, 0.000, 0.000)
Zn (0.500, 0.500, 0.500)
Cl (0.000, 0.000, 0.000)

Computed properties:
total DFT energy (no corrections)	-117.56	eV for the cell shown
ΔE_f (raw)	15.3	kcal/mol of atoms
size of the total moment	0.004	μB per formula unit


Record 2
The following is a SCAN calculation of a PBEsol-optimized structure of Zn2SbCl, from Alexandria.

Lattice parameters (Å, degrees): 7.422 7.422 7.422 134.22 134.22 66.74
Element x y z (fractional)
Zn (0.118, 0.625, 0.993)
Zn (0.375, 0.368, 0.493)
Zn (0.632, 0.125, 0.007)
Zn (0.875, 0.882, 0.507)
Sb (0.000, 0.000, 0.000)
Sb (0.750, 0.250, 0.500)
Cl (0.250, 0.750, 0.500)
Cl (0.500, 0.500, 0.000)

Computed properties:
excess energy over the best structure of this formula in the dataset	0	meV per atom
total DFT energy (no corrections)	-147.59	eV for the cell shown
ΔE_f (raw)	-8.8	kcal/mol of atoms
size of the total moment	0.000	μB per formula unit